[1]
{"formula": "K2RbP", "functional": "GGA-PBE", "state": "optimized geometry", "cell": [[5.510, 0.000, 0.000], [0.000, 5.510, 0.000], [0.000, 0.000, 22.126]], "species": ["K", "K", "K", "K", "K", "K", "K", "K", "Rb", "Rb", "Rb", "Rb", "P", "P", "P", "P"], "frac_coords": [[0.185, 0.250, 0.125], [0.250, 0.685, 0.375], [0.250, 0.815, 0.875], [0.315, 0.250, 0.625], [0.685, 0.750, 0.625], [0.750, 0.185, 0.875], [0.750, 0.315, 0.375], [0.815, 0.750, 0.125], [0.000, 0.000, 0.500], [0.000, 0.500, 0.750], [0.500, 0.000, 0.250], [0.500, 0.500, 0.000], [0.000, 0.000, 0.000], [0.000, 0.500, 0.250], [0.500, 0.000, 0.750], [0.500, 0.500, 0.500]], "delta_e_f_ev_per_atom": 0.085, "dft_energy_ev_per_atom": -2.0585, "vol_a3_per_cell": 671.69, "m_tot_mub_per_cell": 0.00}

---

[2]
{"formula": "K6Rb8P", "functional": "GGA-PBE", "state": "optimized geometry", "cell": [[6.459, 3.729, 7.975], [-6.459, 3.729, 7.975], [0.000, -7.459, 7.975]], "species": ["K", "K", "K", "K", "K", "K", "Rb", "Rb", "Rb", "Rb", "Rb", "Rb", "Rb", "Rb", "P"], "frac_coords": [[0.185, 0.478, 0.597], [0.403, 0.815, 0.522], [0.478, 0.597, 0.185], [0.522, 0.403, 0.815], [0.597, 0.185, 0.478], [0.815, 0.522, 0.403], [0.036, 0.894, 0.304], [0.106, 0.696, 0.964], [0.256, 0.256, 0.256], [0.304, 0.036, 0.894], [0.696, 0.964, 0.106], [0.744, 0.744, 0.744], [0.894, 0.304, 0.036], [0.964, 0.106, 0.696], [0.000, 0.000, 0.000]], "delta_e_f_ev_per_atom": -0.031, "dft_energy_ev_per_atom": -1.3463, "vol_a3_per_cell": 1152.63, "m_tot_mub_per_cell": 0.00}

---

[3]
{"formula": "K2RbP6", "functional": "GGA-PBE", "state": "optimized geometry", "cell": [[4.778, -5.423, 0.000], [4.778, 5.423, 0.000], [-3.044, 0.000, 4.764]], "species": ["K", "K", "Rb", "P", "P", "P", "P", "P", "P"], "frac_coords": [[0.163, 0.163, 0.342], [0.837, 0.837, 0.658], [0.500, 0.500, 0.000], [0.048, 0.660, 0.149], [0.319, 0.681, 0.500], [0.340, 0.952, 0.851], [0.660, 0.048, 0.149], [0.681, 0.319, 0.500], [0.952, 0.340, 0.851]], "delta_e_f_ev_per_atom": -0.273, "dft_energy_ev_per_atom": -4.2314, "vol_a3_per_cell": 246.90, "m_tot_mub_per_cell": 0.00}

---

[4]
{"formula": "KRb2P2", "functional": "GGA-PBE", "state": "optimized geometry", "cell": [[5.863, 0.000, 0.000], [0.000, 5.863, 0.000], [0.000, 0.000, 11.787]], "species": ["K", "K", "Rb", "Rb", "Rb", "Rb", "P", "P", "P", "P"], "frac_coords": [[0.000, 0.000, 0.000], [0.500, 0.500, 0.500], [0.000, 0.000, 0.360], [0.000, 0.000, 0.640], [0.500, 0.500, 0.140], [0.500, 0.500, 0.860], [0.000, 0.500, 0.250], [0.000, 0.500, 0.750], [0.500, 0.000, 0.250], [0.500, 0.000, 0.750]], "delta_e_f_ev_per_atom": 0.375, "dft_energy_ev_per_atom": -2.3953, "vol_a3_per_cell": 405.22, "m_tot_mub_per_cell": 0.00}

---

[5]
{"formula": "K3RbP", "functional": "GGA-PBE", "state": "optimized geometry", "cell": [[6.847, 0.000, 0.000], [0.000, 6.847, 0.000], [0.000, 0.000, 6.847]], "species": ["K", "K", "K", "Rb", "P"], "frac_coords": [[0.000, 0.000, 0.500], [0.000, 0.500, 0.000], [0.500, 0.000, 0.000], [0.000, 0.000, 0.000], [0.500, 0.500, 0.500]], "delta_e_f_ev_per_atom": 0.819, "dft_energy_ev_per_atom": -1.1150, "vol_a3_per_cell": 320.96, "m_tot_mub_per_cell": 0.00}

---

[6]
{"formula": "KRb3P", "functional": "GGA-PBE", "state": "optimized geometry", "cell": [[7.417, 0.000, 0.000], [0.000, 7.417, 0.000], [0.000, 0.000, 7.417]], "species": ["K", "Rb", "Rb", "Rb", "P"], "frac_coords": [[0.000, 0.000, 0.000], [0.000, 0.000, 0.500], [0.000, 0.500, 0.000], [0.500, 0.000, 0.000], [0.500, 0.500, 0.500]], "delta_e_f_ev_per_atom": 0.724, "dft_energy_ev_per_atom": -1.1579, "vol_a3_per_cell": 408.00, "m_tot_mub_per_cell": 1.00}

---

[7]
{"formula": "K7Rb12P", "functional": "GGA-PBE", "state": "optimized geometry", "cell": [[12.647, 7.301, 2.878], [-12.647, 7.301, 2.878], [0.000, -14.603, 2.878]], "species": ["K", "K", "K", "K", "K", "K", "K", "Rb", "Rb", "Rb", "Rb", "Rb", "Rb", "Rb", "Rb", "Rb", "Rb", "Rb", "Rb", "P"], "frac_coords": [[0.000, 0.000, 0.000], [0.207, 0.405, 0.405], [0.405, 0.207, 0.405], [0.405, 0.405, 0.207], [0.595, 0.595, 0.793], [0.595, 0.793, 0.595], [0.793, 0.595, 0.595], [0.000, 0.411, 0.589], [0.000, 0.589, 0.411], [0.030, 0.030, 0.376], [0.030, 0.376, 0.030], [0.376, 0.030, 0.030], [0.411, 0.000, 0.589], [0.411, 0.589, 0.000], [0.589, 0.000, 0.411], [0.589, 0.411, 0.000], [0.624, 0.970, 0.970], [0.970, 0.624, 0.970], [0.970, 0.970, 0.624], [0.500, 0.500, 0.500]], "delta_e_f_ev_per_atom": -0.003, "dft_energy_ev_per_atom": -1.2380, "vol_a3_per_cell": 1594.52, "m_tot_mub_per_cell": 0.00}

---

[8]
{"formula": "K5Rb4P", "functional": "GGA-PBE", "state": "optimized geometry", "cell": [[-7.346, 7.346, 3.259], [7.346, -7.346, 3.259], [7.346, 7.346, -3.259]], "species": ["K", "K", "K", "K", "K", "Rb", "Rb", "Rb", "Rb", "P"], "frac_coords": [[0.000, 0.000, 0.000], [0.348, 0.348, 0.697], [0.348, 0.652, 0.000], [0.652, 0.348, 0.000], [0.652, 0.652, 0.303], [0.000, 0.326, 0.326], [0.000, 0.674, 0.674], [0.326, 0.000, 0.326], [0.674, 0.000, 0.674], [0.500, 0.500, 0.000]], "delta_e_f_ev_per_atom": -0.055, "dft_energy_ev_per_atom": -1.5322, "vol_a3_per_cell": 703.34, "m_tot_mub_per_cell": 0.00}

---

[9]
{"formula": "KRb2P2", "functional": "GGA-PBE", "state": "optimized geometry", "cell": [[5.264, 0.000, 0.000], [0.000, 5.264, 0.000], [0.000, 0.000, 13.250]], "species": ["K", "K", "Rb", "Rb", "Rb", "Rb", "P", "P", "P", "P"], "frac_coords": [[0.000, 0.000, 0.000], [0.500, 0.500, 0.500], [0.000, 0.500, 0.250], [0.000, 0.500, 0.750], [0.500, 0.000, 0.250], [0.500, 0.000, 0.750], [0.000, 0.000, 0.419], [0.000, 0.000, 0.581], [0.500, 0.500, 0.081], [0.500, 0.500, 0.919]], "delta_e_f_ev_per_atom": -0.133, "dft_energy_ev_per_atom": -2.9037, "vol_a3_per_cell": 367.19, "m_tot_mub_per_cell": 2.00}

---

[10]
{"formula": "K3RbP", "functional": "GGA-PBE", "state": "optimized geometry", "cell": [[6.490, 0.000, 0.000], [0.000, 6.490, 0.000], [0.000, 0.000, 6.490]], "species": ["K", "K", "K", "Rb", "P"], "frac_coords": [[0.000, 0.000, 0.500], [0.000, 0.500, 0.000], [0.500, 0.000, 0.000], [0.500, 0.500, 0.500], [0.000, 0.000, 0.000]], "delta_e_f_ev_per_atom": -0.066, "dft_energy_ev_per_atom": -2.0003, "vol_a3_per_cell": 273.32, "m_tot_mub_per_cell": 0.00}

---

[11]
{"formula": "K2RbP2", "functional": "GGA-PBE", "state": "optimized geometry", "cell": [[6.601, -2.664, 0.000], [6.601, 2.664, 0.000], [-6.197, 0.000, 9.872]], "species": ["K", "K", "K", "K", "Rb", "Rb", "P", "P", "P", "P"], "frac_coords": [[0.024, 0.024, 0.173], [0.218, 0.218, 0.600], [0.782, 0.782, 0.400], [0.976, 0.976, 0.827], [0.308, 0.308, 0.168], [0.692, 0.692, 0.832], [0.402, 0.402, 0.942], [0.438, 0.438, 0.533], [0.562, 0.562, 0.467], [0.598, 0.598, 0.058]], "delta_e_f_ev_per_atom": -0.233, "dft_energy_ev_per_atom": -3.0297, "vol_a3_per_cell": 347.25, "m_tot_mub_per_cell": 1.85}

---

[12]
{"formula": "K12Rb5P2", "functional": "GGA-PBE", "state": "optimized geometry", "cell": [[11.056, -5.171, 0.000], [11.056, 5.171, 0.000], [-3.638, 0.000, 12.121]], "species": ["K", "K", "K", "K", "K", "K", "K", "K", "K", "K", "K", "K", "Rb", "Rb", "Rb", "Rb", "Rb", "P", "P"], "frac_coords": [[0.011, 0.011, 0.149], [0.092, 0.610, 0.623], [0.103, 0.612, 0.984], [0.388, 0.897, 0.016], [0.390, 0.908, 0.377], [0.487, 0.487, 0.847], [0.513, 0.513, 0.153], [0.610, 0.092, 0.623], [0.612, 0.103, 0.984], [0.897, 0.388, 0.016], [0.908, 0.390, 0.377], [0.989, 0.989, 0.851], [0.000, 0.000, 0.500], [0.204, 0.204, 0.728], [0.325, 0.325, 0.302], [0.675, 0.675, 0.698], [0.796, 0.796, 0.272], [0.251, 0.749, 0.000], [0.749, 0.251, 0.000]], "delta_e_f_ev_per_atom": -0.021, "dft_energy_ev_per_atom": -1.5380, "vol_a3_per_cell": 1385.89, "m_tot_mub_per_cell": 0.00}